# AcDyRh | the Alexandria database | PBE | optimized geometry
# total moment	0.000	Bohr magnetons per cell
# excess energy over the best structure of this formula in the dataset	0.131	eV per atom
data_AcDyRh
_chemical_formula_sum 'Ac4 Dy4 Rh4'
_cell_length_a 7.1193
_cell_length_b 7.1193
_cell_length_c 7.1193
_cell_angle_alpha 90.00
_cell_angle_beta 90.00
_cell_angle_gamma 90.00
_symmetry_space_group_name_H-M 'F -4 3 m'
_symmetry_Int_Tables_number 216
_symmetry_space_group_name_Hall 'F -4 2 3'
loop_
_atom_site_label
_atom_site_fract_x
_atom_site_fract_y
_atom_site_fract_z
Ac1 0.0000 0.0000 0.0000
Dy1 0.0000 0.0000 0.5000
Rh1 0.2500 0.2500 0.2500

=====

# AcDyRh2 | the Alexandria database | PBE | optimized geometry
# total moment	0.000	Bohr magnetons per cell
# excess energy over the best structure of this formula in the dataset	0.241	eV per atom
data_AcDyRh2
_chemical_formula_sum 'Ac1 Dy1 Rh2'
_cell_length_a 5.3194
_cell_length_b 5.3194
_cell_length_c 3.5126
_cell_angle_alpha 90.00
_cell_angle_beta 90.00
_cell_angle_gamma 90.00
_symmetry_space_group_name_H-M 'P 4/m m m'
_symmetry_Int_Tables_number 123
_symmetry_space_group_name_Hall '-P 4 2'
loop_
_atom_site_label
_atom_site_fract_x
_atom_site_fract_y
_atom_site_fract_z
Ac1 0.0000 0.0000 0.0000
Dy1 0.5000 0.5000 0.5000
Rh1 0.0000 0.5000 0.5000

=====

# AcDyRh | the Alexandria database | PBE | optimized geometry
# total moment	0.000	Bohr magnetons per cell
# excess energy over the best structure of this formula in the dataset	0.000	eV per atom
data_AcDyRh
_chemical_formula_sum 'Ac2 Dy2 Rh2'
_cell_length_a 4.8495
_cell_length_b 4.9303
_cell_length_c 7.2559
_cell_angle_alpha 90.00
_cell_angle_beta 97.19
_cell_angle_gamma 90.00
_symmetry_space_group_name_H-M 'P 1 21/m 1'
_symmetry_Int_Tables_number 11
loop_
_symmetry_equiv_pos_as_xyz
'x,y,z'
'-x,-y,-z'
'-x,y+1/2,-z'
'x,-y+1/2,z'
loop_
_atom_site_label
_atom_site_fract_x
_atom_site_fract_y
_atom_site_fract_z
Ac1 0.2339 0.2500 0.3859
Dy1 0.2651 0.7500 0.0069
Rh1 0.1761 0.2500 0.7845

=====

# AcDyRh2 | the Alexandria database | PBE | optimized geometry
# total moment	0.000	Bohr magnetons per cell
# excess energy over the best structure of this formula in the dataset	0.000	eV per atom
data_AcDyRh2
_chemical_formula_sum 'Ac1 Dy1 Rh2'
_cell_length_a 3.5397
_cell_length_b 3.5397
_cell_length_c 7.2500
_cell_angle_alpha 90.00
_cell_angle_beta 90.00
_cell_angle_gamma 90.00
_symmetry_space_group_name_H-M 'P 4/m m m'
_symmetry_Int_Tables_number 123
_symmetry_space_group_name_Hall '-P 4 2'
loop_
_atom_site_label
_atom_site_fract_x
_atom_site_fract_y
_atom_site_fract_z
Ac1 0.0000 0.0000 0.0000
Dy1 0.0000 0.0000 0.5000
Rh1 0.5000 0.5000 0.2784

=====

# AcDyRh | the Alexandria database | PBE | optimized geometry
# total moment	0.000	Bohr magnetons per cell
# excess energy over the best structure of this formula in the dataset	0.024	eV per atom
data_AcDyRh
_chemical_formula_sum 'Ac4 Dy4 Rh4'
_cell_length_a 6.7369
_cell_length_b 7.1858
_cell_length_c 10.0662
_cell_angle_alpha 90.00
_cell_angle_beta 127.40
_cell_angle_gamma 90.00
_symmetry_space_group_name_H-M 'P 1 21/c 1'
_symmetry_Int_Tables_number 14
loop_
_symmetry_equiv_pos_as_xyz
'x,y,z'
'-x,-y,-z'
'-x,y+1/2,-z+1/2'
'x,-y+1/2,z+1/2'
loop_
_atom_site_label
_atom_site_fract_x
_atom_site_fract_y
_atom_site_fract_z
Ac1 0.1468 0.0847 0.3849
Dy1 0.3770 0.5803 0.6162
Rh1 0.3636 0.7378 0.3565

=====

# AcDyRh | the Alexandria database | PBE | optimized geometry
# total moment	0.000	Bohr magnetons per cell
# excess energy over the best structure of this formula in the dataset	0.059	eV per atom
data_AcDyRh
_chemical_formula_sum 'Ac1 Dy1 Rh1'
_cell_length_a 4.1989
_cell_length_b 4.1989
_cell_length_c 6.4346
_cell_angle_alpha 90.00
_cell_angle_beta 90.00
_cell_angle_gamma 120.00
_symmetry_space_group_name_H-M 'P 3 m 1'
_symmetry_Int_Tables_number 156
loop_
_symmetry_equiv_pos_as_xyz
'x,y,z'
'-y,x-y,z'
'-x+y,-x,z'
'-y,-x,z'
'-x+y,y,z'
'x,x-y,z'
loop_
_atom_site_label
_atom_site_fract_x
_atom_site_fract_y
_atom_site_fract_z
Ac1 0.0000 0.0000 0.0000
Dy1 0.6667 0.3333 0.4728
Rh1 0.3333 0.6667 0.2627

=====

# AcDy3Rh8 | the Alexandria database | PBE | optimized geometry
# total moment	0.000	Bohr magnetons per cell
data_AcDy3Rh8
_chemical_formula_sum 'Ac1 Dy3 Rh8'
_cell_length_a 5.3826
_cell_length_b 5.3826
_cell_length_c 8.8614
_cell_angle_alpha 90.00
_cell_angle_beta 90.00
_cell_angle_gamma 120.00
_symmetry_space_group_name_H-M 'P 3 m 1'
_symmetry_Int_Tables_number 156
loop_
_symmetry_equiv_pos_as_xyz
'x,y,z'
'-y,x-y,z'
'-x+y,-x,z'
'-y,-x,z'
'-x+y,y,z'
'x,x-y,z'
loop_
_atom_site_label
_atom_site_fract_x
_atom_site_fract_y
_atom_site_fract_z
Ac1 0.0000 0.0000 0.0000
Dy1 0.0000 0.0000 0.3692
Dy2 0.6667 0.3333 0.4965
Dy3 0.6667 0.3333 0.8574
Rh1 0.1656 0.3313 0.6762
Rh2 0.3333 0.6667 0.4326
Rh3 0.3333 0.6667 0.9304
Rh4 0.5021 0.0042 0.1899

=====

# AcDyRh | the Alexandria database | PBE | optimized geometry
# total moment	0.000	Bohr magnetons per cell
# excess energy over the best structure of this formula in the dataset	0.174	eV per atom
data_AcDyRh
_chemical_formula_sum 'Ac8 Dy8 Rh8'
_cell_length_a 11.8249
_cell_length_b 11.8249
_cell_length_c 6.0126
_cell_angle_alpha 90.00
_cell_angle_beta 90.00
_cell_angle_gamma 90.00
_symmetry_space_group_name_H-M 'I 4/m m m'
_symmetry_Int_Tables_number 139
_symmetry_space_group_name_Hall '-I 4 2'
loop_
_atom_site_label
_atom_site_fract_x
_atom_site_fract_y
_atom_site_fract_z
Ac1 0.0000 0.3142 0.0000
Dy1 0.1626 0.1626 0.5000
Rh1 0.0000 0.3205 0.5000

=====

# AcDyRh2 | the Alexandria database | PBE | optimized geometry
# total moment	0.000	Bohr magnetons per cell
# excess energy over the best structure of this formula in the dataset	0.015	eV per atom
data_AcDyRh2
_chemical_formula_sum 'Ac3 Dy3 Rh6'
_cell_length_a 4.5174
_cell_length_b 4.5174
_cell_length_c 16.5437
_cell_angle_alpha 90.00
_cell_angle_beta 90.00
_cell_angle_gamma 120.00
_symmetry_space_group_name_H-M 'R -3 m'
_symmetry_Int_Tables_number 166
_symmetry_space_group_name_Hall '-R 3 2"'
loop_
_atom_site_label
_atom_site_fract_x
_atom_site_fract_y
_atom_site_fract_z
Ac1 0.0000 0.0000 0.0000
Dy1 0.0000 0.0000 0.5000
Rh1 0.0000 0.0000 0.2226

=====

# AcDy4Rh5 | the Alexandria database | PBE | optimized geometry
# total moment	0.000	Bohr magnetons per cell
data_AcDy4Rh5
_chemical_formula_sum 'Ac1 Dy4 Rh5'
_cell_length_a 3.4505
_cell_length_b 3.4505
_cell_length_c 17.7318
_cell_angle_alpha 90.00
_cell_angle_beta 90.00
_cell_angle_gamma 90.00
_symmetry_space_group_name_H-M 'P 4/m m m'
_symmetry_Int_Tables_number 123
_symmetry_space_group_name_Hall '-P 4 2'
loop_
_atom_site_label
_atom_site_fract_x
_atom_site_fract_y
_atom_site_fract_z
Ac1 0.0000 0.0000 0.0000
Dy1 0.0000 0.0000 0.2093
Dy2 0.0000 0.0000 0.4032
Rh1 0.5000 0.5000 0.1182
Rh2 0.5000 0.5000 0.3074
Rh3 0.5000 0.5000 0.5000

=====

# Ac2DyRh9 | the Alexandria database | PBE | optimized geometry
# total moment	0.000	Bohr magnetons per cell
data_Ac2DyRh9
_chemical_formula_sum 'Ac6 Dy3 Rh27'
_cell_length_a 5.3449
_cell_length_b 5.3449
_cell_length_c 27.3016
_cell_angle_alpha 90.00
_cell_angle_beta 90.00
_cell_angle_gamma 120.00
_symmetry_space_group_name_H-M 'R -3 m'
_symmetry_Int_Tables_number 166
_symmetry_space_group_name_Hall '-R 3 2"'
loop_
_atom_site_label
_atom_site_fract_x
_atom_site_fract_y
_atom_site_fract_z
Ac1 0.0000 0.0000 0.1376
Dy1 0.0000 0.0000 0.0000
Rh1 0.0000 0.0000 0.3326
Rh2 0.0000 0.0000 0.5000
Rh3 0.0015 0.5008 0.0786

=====

# AcDy2Rh9 | the Alexandria database | PBE | optimized geometry
# total moment	0.000	Bohr magnetons per cell
data_AcDy2Rh9
_chemical_formula_sum 'Ac3 Dy6 Rh27'
_cell_length_a 5.3293
_cell_length_b 5.3293
_cell_length_c 26.3869
_cell_angle_alpha 90.00
_cell_angle_beta 90.00
_cell_angle_gamma 120.00
_symmetry_space_group_name_H-M 'R -3 m'
_symmetry_Int_Tables_number 166
_symmetry_space_group_name_Hall '-R 3 2"'
loop_
_atom_site_label
_atom_site_fract_x
_atom_site_fract_y
_atom_site_fract_z
Ac1 0.0000 0.0000 0.0000
Dy1 0.0000 0.0000 0.1402
Rh1 0.0000 0.0000 0.3331
Rh2 0.0000 0.0000 0.5000
Rh3 0.0009 0.5005 0.9157

=====

Number 1: energy of formation from the pure elements -0.434 eV/atom, uncorrected energy -0.21272 hartree per atom. Number 2: energy of formation from the pure elements -0.416 eV/atom, uncorrected energy -0.23041 hartree per atom. Number 3: energy of formation from the pure elements -0.565 eV/atom, uncorrected energy -0.21753 hartree per atom. Number 4: energy of formation from the pure elements -0.657 eV/atom, uncorrected energy -0.23926 hartree per atom. Number 5: energy of formation from the pure elements -0.541 eV/atom, uncorrected energy -0.21665 hartree per atom. Number 6: energy of formation from the pure elements -0.507 eV/atom, uncorrected energy -0.21537 hartree per atom. Number 7: energy of formation from the pure elements -0.650 eV/atom, uncorrected energy -0.25884 hartree per atom. Number 8: energy of formation from the pure elements -0.391 eV/atom, uncorrected energy -0.21112 hartree per atom. Number 9: energy of formation from the pure elements -0.642 eV/atom, uncorrected energy -0.23871 hartree per atom. Number 10: energy of formation from the pure elements -0.777 eV/atom, uncorrected energy -0.24637 hartree per atom. Number 11: energy of formation from the pure elements -0.450 eV/atom, uncorrected energy -0.25843 hartree per atom. Number 12: energy of formation from the pure elements -0.546 eV/atom, uncorrected energy -0.26345 hartree per atom.